[1]
ScNiH3 (PBE, relaxed); VASP energy = -24.20 eV/cell
1.0
3.354 0.000 0.000
0.000 3.354 0.000
0.000 0.000 3.354
H Sc Ni
3 1 1
Direct
0.500 0.000 0.000
0.000 0.000 0.500
0.000 0.500 0.000
0.500 0.500 0.500
0.000 0.000 0.000

=====

[2]
NiH2Se (PBE, relaxed); VASP energy = -14.85 eV/cell
1.0
0.794 -3.556 4.175
3.354 -3.434 2.768
2.638 -1.345 4.684
H Ni Se
2 1 1
Direct
0.543 0.543 0.543
0.855 0.855 0.855
0.201 0.201 0.201
0.356 0.356 0.356

=====

[3]
Ni3SnH (PBE, relaxed); VASP energy = -25.09 eV/cell
1.0
-1.125 -0.958 3.461
3.291 -1.725 0.593
1.435 3.204 1.354
Ni Sn H
3 1 1
Direct
0.000 0.500 0.000
0.000 0.000 0.500
0.500 0.000 0.000
0.500 0.500 0.500
0.000 0.000 0.000

=====

[4]
Ni2SnH6 (PBE, relaxed); VASP energy = -28.23 eV/cell
1.0
0.000 3.134 3.134
3.134 0.000 3.134
3.134 3.134 0.000
H Ni Sn
6 2 1
Direct
0.349 0.651 0.651
0.651 0.349 0.349
0.349 0.651 0.349
0.651 0.349 0.651
0.349 0.349 0.651
0.651 0.651 0.349
0.250 0.250 0.250
0.750 0.750 0.750
0.000 0.000 0.000

=====

[5]
Zr6NiSn2H10 (PBE, relaxed); VASP energy = -214.93 eV/cell
1.0
8.122 0.000 0.000
-4.061 7.034 0.000
0.000 0.000 7.345
H Zr Ni Sn
20 12 2 4
Direct
0.123 0.242 0.250
0.273 0.000 0.500
0.877 0.119 0.750
0.895 0.598 0.250
0.000 0.000 0.000
0.105 0.703 0.750
0.881 0.758 0.750
0.119 0.877 0.250
0.000 0.000 0.500
0.242 0.123 0.750
0.000 0.273 0.000
0.598 0.895 0.750
0.402 0.297 0.250
0.703 0.105 0.250
0.758 0.881 0.250
0.727 0.727 0.500
0.297 0.402 0.750
0.727 0.727 0.000
0.273 0.000 0.000
0.000 0.273 0.500
0.047 0.416 0.750
0.259 0.259 0.000
0.741 0.000 0.000
0.368 0.953 0.750
0.632 0.584 0.250
0.953 0.368 0.250
0.741 0.000 0.500
0.416 0.047 0.250
0.584 0.632 0.750
0.000 0.741 0.000
0.259 0.259 0.500
0.000 0.741 0.500
0.000 0.000 0.250
0.000 0.000 0.750
0.667 0.333 0.540
0.667 0.333 0.960
0.333 0.667 0.460
0.333 0.667 0.040

=====

[6]
Sr3NiH6 (PBE, relaxed); VASP energy = -32.51 eV/cell
1.0
0.000 4.078 4.078
4.078 0.000 4.078
4.078 4.078 0.000
Sr Ni H
3 1 6
Direct
0.750 0.750 0.750
0.500 0.500 0.500
0.250 0.250 0.250
0.000 0.000 0.000
0.212 0.788 0.212
0.788 0.212 0.788
0.212 0.212 0.788
0.212 0.788 0.788
0.788 0.212 0.212
0.788 0.788 0.212

=====

[7]
Sr2TcNiH6 (PBE, relaxed); VASP energy = -42.49 eV/cell
1.0
0.000 3.728 3.728
3.728 0.000 3.728
3.728 3.728 0.000
H Sr Tc Ni
6 2 1 1
Direct
0.247 0.753 0.753
0.753 0.247 0.753
0.247 0.247 0.753
0.753 0.753 0.247
0.247 0.753 0.247
0.753 0.247 0.247
0.250 0.250 0.250
0.750 0.750 0.750
0.500 0.500 0.500
0.000 0.000 0.000

=====

[8]
Sr2TlNiH6 (PBE, relaxed); VASP energy = -33.77 eV/cell
1.0
4.775 -2.721 -1.165
2.565 -3.009 3.992
0.035 -5.610 -0.298
H Sr Ni Tl
6 2 1 1
Direct
0.205 0.795 0.205
0.795 0.205 0.795
0.205 0.205 0.795
0.795 0.205 0.205
0.205 0.795 0.795
0.795 0.795 0.205
0.250 0.250 0.250
0.750 0.750 0.750
0.000 0.000 0.000
0.500 0.500 0.500

=====

[9]
Sr2ZnNiH6 (PBE, relaxed); VASP energy = -33.67 eV/cell
1.0
5.027 -0.394 -1.688
2.777 -4.437 0.933
1.208 -3.274 -4.012
Sr H Ni Zn
2 6 1 1
Direct
0.250 0.250 0.250
0.750 0.750 0.750
0.772 0.772 0.228
0.772 0.228 0.772
0.228 0.772 0.772
0.228 0.772 0.228
0.772 0.228 0.228
0.228 0.228 0.772
0.000 0.000 0.000
0.500 0.500 0.500

=====

[10]
ZnNi3H (PBE, relaxed); VASP energy = -22.21 eV/cell
1.0
3.612 0.000 0.000
0.000 3.612 0.000
0.000 0.000 3.637
H Ni Zn
1 3 1
Direct
0.000 0.000 0.000
0.000 0.500 0.000
0.500 0.000 0.000
0.000 0.000 0.500
0.500 0.500 0.500

=====

[11]
ZnNi3H (PBE, relaxed); VASP energy = -44.42 eV/cell
1.0
-1.145 4.766 -1.470
-3.607 0.262 3.621
4.815 -1.202 1.265
Zn H Ni
2 2 6
Direct
0.250 0.250 0.500
0.750 0.750 0.500
0.000 0.500 0.000
0.500 0.000 0.000
0.750 0.250 0.500
0.750 0.750 0.001
0.750 0.250 0.000
0.250 0.250 0.999
0.250 0.750 0.500
0.250 0.750 0.000

=====

[12]
ZnNi3H (PBE, relaxed); VASP energy = -22.21 eV/cell
1.0
3.620 0.000 0.000
0.000 3.620 0.000
0.000 0.000 3.620
Zn Ni H
1 3 1
Direct
0.500 0.500 0.500
0.000 0.500 0.000
0.000 0.000 0.500
0.500 0.000 0.000
0.000 0.000 0.000